(1)
DFT (PBEsol) results for a relaxed K2HgSeI crystal.

Results
* uncorrected formation energy: -2.71 eV per formula unit
* magnetization: 0.00 μB/cell
* density: 3.59 g/cm3
* SG: P4/mmm (123)
* calculated total energy: -11.16 eV/cell

Cell: 6.1407 6.1407 5.9372 Å, 90.00 90.00 90.00°
With the nearest neighbours (Å) after each atom.
Fractional coordinates of all 5 atoms:
K  0.0000  0.5000  0.0000  2 Se 3.07
K  0.5000  0.0000  0.0000  2 Se 3.07
Hg  0.0000  0.0000  0.5000  8 K 4.27, 4 I 4.34
Se  0.5000  0.5000  0.0000  2 I 2.97, 4 K 3.07
I  0.5000  0.5000  0.5000  2 Se 2.97



(2)
DFT (PBEsol) results for a relaxed CrCdFe2 crystal.

Results
* magnetization: 1.59 μB/cell
* density: 8.73 g/cm3
* ΔH_f (0 K): 1.82 eV/f.u.
* SG: Immm (71)
* calculated total energy: -27.54 eV/cell

Cell: 4.6049 4.6049 4.6049 Å, 132.30 132.10 69.91°
With the nearest neighbours (Å) after each atom.
Fractional coordinates of all 4 atoms:
Cr  0.0000  0.0000  0.0000  4 Cd 2.64, 8 Fe 2.65-2.66
Cd  0.5000  0.5000  0.0000  4 Cr 2.64, 8 Fe 2.65
Fe  0.2497  0.7497  0.5000  4 Fe 2.64, 4 Cr 2.65-2.66, 4 Cd 2.65
Fe  0.7503  0.2503  0.5000  4 Fe 2.64, 4 Cr 2.65-2.66, 4 Cd 2.65



(3)
DFT (PBEsol) results for a relaxed BaLaPb2 crystal.

Results
* magnetization: 0.05 μB/cell
* density: 8.74 g/cm3
* ΔH_f (0 K): -2.13 eV/f.u.
* SG: Cmmm (65)
* calculated total energy: -17.62 eV/cell

Cell: 6.0561 6.0561 3.6727 Å, 90.00 90.00 102.93°
With the nearest neighbours (Å) after each atom.
Fractional coordinates of all 4 atoms:
Ba  0.0000  0.0000  0.0000  8 Pb 3.54, 2 Ba 3.67, 2 La 3.77
La  0.5000  0.5000  0.0000  8 Pb 3.54, 2 La 3.67, 2 Ba 3.77
Pb  0.0000  0.5000  0.5000  4 Ba 3.54, 4 La 3.54, 4 Pb 3.67-3.77
Pb  0.5000  0.0000  0.5000  4 Ba 3.54, 4 La 3.54, 4 Pb 3.67-3.77



(4)
DFT (PBEsol) results for a relaxed AsOsRu2 crystal.

Results
* magnetization: 0.00 μB/cell
* density: 13.99 g/cm3
* ΔH_f (0 K): 0.92 eV/f.u.
* SG: R3m (160)
* calculated total energy: -36.74 eV/cell

Cell: 8.4094 8.4094 8.4094 Å, 19.07 19.07 19.07°
With the nearest neighbours (Å) after each atom.
Fractional coordinates of all 4 atoms:
As  0.0000  0.0000  0.0000  3 Ru 2.52, 3 Os 2.61, 6 As 2.79
Os  0.7498  0.7498  0.7498  3 As 2.61, 3 Ru 2.64, 6 Os 2.79
Ru  0.2552  0.2552  0.2552  3 As 2.52, 9 Ru 2.69-2.79
Ru  0.5013  0.5013  0.5013  3 Os 2.64, 9 Ru 2.69-2.79



(5)
DFT (PBEsol) results for a relaxed BeSn2H crystal.

Results
* magnetization: 0.00 μB/cell
* density: 5.71 g/cm3
* SG: I-42d (122)
* calculated total energy: -27.59 eV/cell

Cell: 7.5058 7.5058 7.5058 Å, 144.21 144.21 51.51°
With the nearest neighbours (Å) after each atom.
Fractional coordinates of all 8 atoms:
Be  0.0000  0.0000  0.0000  4 Sn 2.45
Be  0.7500  0.2500  0.5000  4 Sn 2.45
Sn  0.1664  0.6250  0.0414  2 H 2.26, 2 Be 2.45
Sn  0.3750  0.4164  0.5414  2 H 2.26, 2 Be 2.45
Sn  0.5836  0.1250  0.9586  2 H 2.26, 2 Be 2.45
Sn  0.8750  0.8336  0.4586  2 H 2.26, 2 Be 2.45
H  0.2500  0.7500  0.5000  4 Sn 2.26
H  0.5000  0.5000  0.0000  4 Sn 2.26



(6)
DFT (PBEsol) results for a relaxed HPd3Se crystal.

Results
* magnetization: 0.00 μB/cell
* density: 10.39 g/cm3
* SG: Pm-3m (221)
* calculated total energy: -25.29 eV/cell

Cell: 3.9961 3.9961 3.9961 Å, 90.00 90.00 90.00°
With the nearest neighbours (Å) after each atom.
Fractional coordinates of all 5 atoms:
H  0.0000  0.0000  0.0000  6 Pd 2.00
Pd  0.0000  0.0000  0.5000  2 H 2.00
Pd  0.0000  0.5000  0.0000  2 H 2.00
Pd  0.5000  0.0000  0.0000  2 H 2.00
Se  0.5000  0.5000  0.5000  12 Pd 2.83



(7)
DFT (PBEsol) results for a relaxed KCr2P crystal.

Results
* magnetization: 9.22 μB/cell
* density: 3.60 g/cm3
* ΔH_f (0 K): 4.62 eV/f.u.
* SG: F-43m (216)
* calculated total energy: -22.79 eV/cell

Cell: 4.8440 4.8440 4.8440 Å, 60.00 60.00 60.00°
With the nearest neighbours (Å) after each atom.
Fractional coordinates of all 4 atoms:
K  0.0000  0.0000  0.0000  4 Cr 2.97, 4 P 2.97
Cr  0.5000  0.5000  0.5000  4 Cr 2.97, 4 P 2.97
Cr  0.7500  0.7500  0.7500  4 Cr 2.97, 4 K 2.97
P  0.2500  0.2500  0.2500  4 Cr 2.97, 4 K 2.97



(8)
DFT (PBEsol) results for a relaxed KAlCo2Bi crystal.

Results
* magnetization: 2.86 μB/cell
* density: 4.50 g/cm3
* ΔH_f (0 K): 6.73 eV/f.u.
* SG: P4/mmm (123)
* calculated total energy: -18.25 eV/cell

Cell: 4.8775 4.8775 6.0970 Å, 90.00 90.00 90.00°
With the nearest neighbours (Å) after each atom.
Fractional coordinates of all 5 atoms:
K  0.0000  0.0000  0.0000  2 Bi 3.05
Al  0.5000  0.5000  0.0000  4 K 3.45
Co  0.0000  0.5000  0.5000  2 Bi 2.44
Co  0.5000  0.0000  0.5000  2 Bi 2.44
Bi  0.0000  0.0000  0.5000  4 Co 2.44